LiCoP2O: relaxed, GGA+U.

abc: 4.6942 4.6942 3.3895
angles: 90.00 90.00 90.00
Last column: nearest neighbours and their distance in Å.
Fractional positions:
Li 0.0000 0.0000 0.0000  8 P 2.89
Co 0.5000 0.5000 0.5000  2 O 1.69
P 0.0000 0.5000 0.5000  2 Co 2.35
P 0.5000 0.0000 0.5000  2 Co 2.35
O 0.5000 0.5000 0.0000  2 Co 1.69

- crystal system = tetragonal
- total energy (eV/atom) = -4.42